The following is a DFT calculation (PBE) of an optimized crystal structure of TlAs3P.

Lattice parameters (Å, degrees): 5.2530 5.2530 5.2530 90.00 90.00 90.00
Sites, in units of the cell vectors:
Tl 0.0000 0.0000 0.0000
As 0.0000 0.0000 0.5000
As 0.0000 0.5000 0.0000
As 0.5000 0.0000 0.0000
P 0.5000 0.5000 0.5000

Values from the calculation:
Excess energy over the best structure of this formula in the dataset = 1032 meV per atom
Energy of formation = 1557 meV per atom
Size of the total moment = 0.0 μB per formula unit